(1)
# LaPIr2

LaPIr2 at its PBEsol-relaxed geometry (SCAN, Alexandria via LeMat-Bulk).

**DFT formation energy**: -292 meV per atom
**D(E_F)**: 1.88 states/eV/cell
**Total magnetic moment**: 0.0 μB per cell

a b c (Å): 2.9297 2.9297 7.7027
angles (deg): 90.00 90.00 90.00
Last column: nearest neighbours and their distance in Å.
Sites, in units of the cell vectors:
Ir (0.0000, 0.0000, 0.6839)  4 P 2.51
Ir (0.0000, 0.0000, 0.3161)  4 P 2.51
La (0.5000, 0.5000, 0.0000)  4 La 2.93, 8 Ir 3.20
P (0.5000, 0.5000, 0.5000)  8 Ir 2.51

---

(2)
# Ba2I2Cl

Ba2I2Cl at its PBEsol-relaxed geometry (SCAN, Alexandria via LeMat-Bulk).

**D(E_F)**: 2.21 states/eV/cell
**Total magnetic moment**: 0.0 μB per cell
**Raw formation energy**: -1951 meV/atom

a b c (Å): 4.9780 8.6317 8.6317
angles (deg): 90.00 90.00 90.00
Last column: nearest neighbours and their distance in Å.
Sites, in units of the cell vectors:
I (0.5000, 0.1477, 0.6477)  6 Ba 3.39-3.66, 1 I 3.61
I (0.5000, 0.6477, 0.8523)  6 Ba 3.39-3.66, 1 I 3.61
I (0.5000, 0.8523, 0.3523)  6 Ba 3.39-3.66, 1 I 3.61
I (0.5000, 0.3523, 0.1477)  6 Ba 3.39-3.66, 1 I 3.61
Ba (0.0000, 0.3368, 0.8368)  2 Cl 3.23, 2 I 3.39
Ba (0.0000, 0.8368, 0.6632)  2 Cl 3.23, 2 I 3.39
Ba (0.0000, 0.6632, 0.1632)  2 Cl 3.23, 2 I 3.39
Ba (0.0000, 0.1632, 0.3368)  2 Cl 3.23, 2 I 3.39
Cl (0.0000, 0.0000, 0.0000)  4 Ba 3.23
Cl (0.0000, 0.5000, 0.5000)  4 Ba 3.23

---

(3)
# MnMoSe2

MnMoSe2 at its PBEsol-relaxed geometry (SCAN, Alexandria via LeMat-Bulk).

**D(E_F)**: 2.84 states/eV/cell
**E above lowest polymorph**: 282 meV per atom
**Total magnetic moment**: 3.9 μB per cell
**Raw formation energy**: -117 meV/atom

a b c (Å): 3.1688 3.1688 8.4969
angles (deg): 79.25 79.25 60.00
Last column: nearest neighbours and their distance in Å.
Sites, in units of the cell vectors:
Mo (0.5000, 0.5000, 0.5000)  6 Se 2.53
Mn (0.0000, 0.0000, 0.0000)  2 Se 2.40
Se (0.9037, 0.9037, 0.2889)  1 Mn 2.40, 3 Mo 2.53
Se (0.0963, 0.0963, 0.7111)  1 Mn 2.40, 3 Mo 2.53

---

(4)
# Si2SeF

Si2SeF at its PBEsol-relaxed geometry (SCAN, Alexandria via LeMat-Bulk).

**D(E_F)**: 2.74 states/eV/cell
**Total magnetic moment**: 0.0 μB per cell
**Raw formation energy**: -92 meV/atom

a b c (Å): 5.5477 5.5477 5.5477
angles (deg): 104.53 104.53 119.88
Last column: nearest neighbours and their distance in Å.
Sites, in units of the cell vectors:
Si (0.8663, 0.8750, 0.4913)  2 F 2.46, 2 Se 2.54
Si (0.3837, 0.3750, 0.5087)  2 F 2.46, 2 Se 2.54
Si (0.6250, 0.1337, 0.0087)  2 F 2.46, 2 Se 2.54
Si (0.1250, 0.6163, 0.9913)  2 F 2.46, 2 Se 2.54
Se (0.2500, 0.7500, 0.5000)  4 Si 2.54, 2 F 2.78
Se (0.0000, 0.0000, 0.0000)  4 Si 2.54, 2 F 2.78
F (0.7500, 0.2500, 0.5000)  4 Si 2.46
F (0.5000, 0.5000, 0.0000)  4 Si 2.46

---

(5)
# MnO

MnO at its PBEsol-relaxed geometry (SCAN, Alexandria via LeMat-Bulk).

**D(E_F)**: 0.18 states/eV/cell
**Total magnetic moment**: 5.0 μB per cell
**Raw formation energy**: -1864 meV/atom

a b c (Å): 3.3408 3.3408 3.3408
angles (deg): 60.00 60.00 60.00
Last column: nearest neighbours and their distance in Å.
Sites, in units of the cell vectors:
Mn (0.2500, 0.2500, 0.2500)  4 O 2.05
O (0.0000, 0.0000, 0.0000)  4 Mn 2.05

---

(6)
# YMnCu2

YMnCu2 at its PBEsol-relaxed geometry (SCAN, Alexandria via LeMat-Bulk).

**DFT formation energy**: 73 meV per atom
**D(E_F)**: 3.05 states/eV/cell
**Total magnetic moment**: 3.1 μB per cell

a b c (Å): 3.8750 3.9809 3.9816
angles (deg): 90.00 90.00 90.00
Last column: nearest neighbours and their distance in Å.
Sites, in units of the cell vectors:
Cu (0.0000, 0.0000, 0.0000)  4 Mn 2.78, 4 Y 2.78, 4 Cu 2.82
Cu (0.0000, 0.5000, 0.5000)  4 Y 2.78, 4 Mn 2.78, 4 Cu 2.82
Mn (0.5000, 0.5000, 0.0000)  8 Cu 2.78, 4 Y 2.82
Y (0.5000, 0.0000, 0.5000)  8 Cu 2.78, 4 Mn 2.82

---

(7)
# PbSe2O

PbSe2O at its PBEsol-relaxed geometry (SCAN, Alexandria via LeMat-Bulk).

**D(E_F)**: 1.26 states/eV/cell
**E above lowest polymorph**: 0 meV per atom
**Total magnetic moment**: 0.0 μB per cell
**Raw formation energy**: 425 meV/atom

a b c (Å): 4.1202 4.1202 7.1363
angles (deg): 73.22 73.22 60.00
Last column: nearest neighbours and their distance in Å.
Sites, in units of the cell vectors:
Pb (0.0000, 0.0000, 0.0000)  2 Se 3.01
O (0.5000, 0.5000, 0.5000)  6 Se 2.40
Se (0.8508, 0.8508, 0.4478)  3 O 2.40, 3 Se 2.48
Se (0.1492, 0.1492, 0.5522)  3 O 2.40, 3 Se 2.48

---

(8)
# CdCoO2

CdCoO2 at its PBEsol-relaxed geometry (SCAN, Alexandria via LeMat-Bulk).

**D(E_F)**: 2.39 states/eV/cell
**Total magnetic moment**: 6.1 μB per cell
**Raw formation energy**: -1109 meV/atom

a b c (Å): 4.7771 4.7771 5.8101
angles (deg): 114.27 114.27 90.00
Last column: nearest neighbours and their distance in Å.
Sites, in units of the cell vectors:
Co (0.7500, 0.2500, 0.5000)  4 O 1.92
Co (0.5000, 0.5000, 0.0000)  4 O 1.92
O (0.4284, 0.8750, 0.2500)  2 Co 1.92
O (0.8216, 0.3750, 0.2500)  2 Co 1.92
O (0.1250, 0.1784, 0.7500)  2 Co 1.92
O (0.6250, 0.5716, 0.7500)  2 Co 1.92
Cd (0.2500, 0.7500, 0.5000)  4 O 2.22
Cd (0.0000, 0.0000, 0.0000)  4 O 2.22

---

(9)
# P2SNF

P2SNF at its PBEsol-relaxed geometry (SCAN, Alexandria via LeMat-Bulk).

**D(E_F)**: 1.08 states/eV/cell
**Total magnetic moment**: 0.0 μB per cell
**Raw formation energy**: 988 meV/atom

a b c (Å): 3.9634 4.0702 4.0702
angles (deg): 90.00 90.00 90.00
Last column: nearest neighbours and their distance in Å.
Sites, in units of the cell vectors:
P (0.0000, 0.0000, 0.5000)  2 N 2.04
P (0.0000, 0.5000, 0.0000)  2 N 2.04
S (0.5000, 0.0000, 0.0000)  2 N 1.98
N (0.0000, 0.0000, 0.0000)  2 S 1.98, 4 P 2.04
F (0.5000, 0.5000, 0.5000)  8 P 2.84, 4 S 2.88

---

(10)
# Li5SbO5

Li5SbO5 at its PBEsol-relaxed geometry (SCAN, Alexandria via LeMat-Bulk).

**D(E_F)**: 0.00 states/eV/cell
**Total magnetic moment**: 0.0 μB per cell
**Raw formation energy**: -2063 meV/atom

a b c (Å): 4.0250 5.2353 5.7952
angles (deg): 107.39 90.00 112.61
Last column: nearest neighbours and their distance in Å.
Sites, in units of the cell vectors:
Sb (0.0000, 0.0000, 0.5000)  6 O 1.98-2.01
O (0.1455, 0.2909, 0.3258)  5 Li 1.94-2.05, 1 Sb 1.98
O (0.5000, 0.0000, 0.5000)  2 Sb 2.01, 2 Li 2.22
O (0.8422, 0.6843, 0.1808)  5 Li 1.96-2.11, 1 Sb 1.98
O (0.1578, 0.3157, 0.8192)  5 Li 1.96-2.11, 1 Sb 1.98
O (0.8545, 0.7091, 0.6742)  5 Li 1.94-2.05, 1 Sb 1.98
Li (0.2890, 0.5780, 0.1572)  4 O 1.94-2.07
Li (0.0000, 0.0000, 0.0000)  4 O 1.96-2.11
Li (0.6882, 0.3764, 0.3593)  5 O 2.00-2.22
Li (0.3118, 0.6236, 0.6407)  5 O 2.00-2.22
Li (0.7110, 0.4220, 0.8428)  4 O 1.94-2.07

---

(11)
# MgZn2Co

MgZn2Co at its PBEsol-relaxed geometry (SCAN, Alexandria via LeMat-Bulk).

**DFT formation energy**: -68 meV per atom
**D(E_F)**: 1.42 states/eV/cell
**Total magnetic moment**: 1.2 μB per cell

a b c (Å): 3.6791 3.6791 4.7143
angles (deg): 112.97 112.97 90.00
Last column: nearest neighbours and their distance in Å.
Sites, in units of the cell vectors:
Zn (0.7500, 0.2500, 0.5000)  4 Zn 2.60, 4 Co 2.69, 4 Mg 2.69
Zn (0.2500, 0.7500, 0.5000)  4 Zn 2.60, 4 Co 2.69, 4 Mg 2.69
Co (0.5000, 0.5000, 0.0000)  4 Mg 2.60, 8 Zn 2.69
Mg (0.0000, 0.0000, 0.0000)  4 Co 2.60, 8 Zn 2.69

---

(12)
# ZrAgMo

ZrAgMo at its PBEsol-relaxed geometry (SCAN, Alexandria via LeMat-Bulk).

**DFT formation energy**: 335 meV per atom
**D(E_F)**: 2.25 states/eV/cell
**Total magnetic moment**: 0.0 μB per cell

a b c (Å): 2.9500 3.8303 5.3209
angles (deg): 111.10 106.09 90.00
Last column: nearest neighbours and their distance in Å.
Sites, in units of the cell vectors:
Ag (0.0060, 0.0060, 0.0120)  4 Mo 2.85, 5 Zr 2.95-3.05, 2 Ag 2.95
Mo (0.6662, 0.6662, 0.3324)  4 Ag 2.85, 4 Zr 2.86, 2 Mo 2.95
Zr (0.3278, 0.3278, 0.6556)  4 Mo 2.86, 5 Ag 2.95-3.05, 2 Zr 2.95

---

> Which formula does entry 8 have?

CdCoO2